[1]
{"formula": "Mg2TiCu", "functional": "GGA-PBE", "state": "relaxed", "formation_energy_ev_per_atom": 0.053, "polymorph_energy_mev_per_atom": 0, "dft_energy_ev_per_fu": -14.967, "lattice_angstrom": [[-2.752, -0.807, -0.636], [0.070, -1.961, 2.186], [-2.830, 5.612, 5.125]], "species": ["Mg", "Mg", "Ti", "Cu"], "frac_coords": [[0.000, 0.000, 0.779], [0.000, 0.000, 0.221], [0.500, 0.500, 0.500], [0.500, 0.500, 0.000]]}

=====

[2]
{"formula": "HoInBi2O6", "functional": "GGA-PBE", "state": "relaxed", "formation_energy_uncorrected_mev_per_atom": -1872, "dft_energy_ev_per_fu": -63.551, "lattice_angstrom": [[5.730, 0.000, -0.017], [0.000, 6.154, 0.000], [0.026, 0.000, 8.327]], "species": ["O", "O", "O", "O", "O", "O", "O", "O", "O", "O", "O", "O", "Ho", "Ho", "In", "In", "Bi", "Bi", "Bi", "Bi"], "frac_coords": [[0.674, 0.320, 0.561], [0.137, 0.448, 0.746], [0.332, 0.686, 0.064], [0.832, 0.814, 0.564], [0.168, 0.186, 0.436], [0.668, 0.314, 0.936], [0.174, 0.180, 0.061], [0.326, 0.680, 0.439], [0.637, 0.052, 0.246], [0.363, 0.948, 0.754], [0.826, 0.820, 0.939], [0.863, 0.552, 0.254], [0.000, 0.500, 0.000], [0.500, 0.000, 0.500], [0.500, 0.000, 0.000], [0.000, 0.500, 0.500], [0.511, 0.539, 0.748], [0.011, 0.961, 0.248], [0.489, 0.461, 0.252], [0.989, 0.039, 0.752]]}

=====

[3]
{"formula": "NdPu2Sn2Pd2", "functional": "GGA-PBE", "state": "relaxed", "formation_energy_ev_per_atom": -0.559, "dft_energy_ev_per_fu": -55.738, "lattice_angstrom": [[4.659, 0.000, 0.000], [2.329, 4.035, 0.000], [2.329, 1.345, 8.808]], "species": ["Sn", "Sn", "Pu", "Pu", "Nd", "Pd", "Pd"], "frac_coords": [[0.736, 0.736, 0.792], [0.264, 0.264, 0.208], [0.142, 0.142, 0.575], [0.858, 0.858, 0.425], [0.000, 0.000, 0.000], [0.427, 0.427, 0.719], [0.573, 0.573, 0.281]]}

=====

[4]
{"formula": "Tb12PrHo7", "functional": "GGA-PBE", "state": "relaxed", "formation_energy_ev_per_atom": 0.240, "polymorph_energy_mev_per_atom": 0, "dft_energy_ev_per_fu": -87.592, "lattice_angstrom": [[8.429, 1.242, 1.865], [-1.150, 8.442, 1.865], [-1.150, -1.531, 8.509]], "species": ["Pr", "Tb", "Tb", "Tb", "Tb", "Tb", "Tb", "Tb", "Tb", "Tb", "Tb", "Tb", "Tb", "Ho", "Ho", "Ho", "Ho", "Ho", "Ho", "Ho"], "frac_coords": [[0.000, 0.000, 0.000], [0.896, 0.654, 0.569], [0.569, 0.896, 0.654], [0.346, 0.431, 0.104], [0.431, 0.104, 0.346], [0.240, 0.648, 0.770], [0.770, 0.240, 0.648], [0.648, 0.770, 0.240], [0.230, 0.760, 0.352], [0.760, 0.352, 0.230], [0.352, 0.230, 0.760], [0.654, 0.569, 0.896], [0.104, 0.346, 0.431], [0.997, 0.631, 0.124], [0.369, 0.876, 0.003], [0.003, 0.369, 0.876], [0.876, 0.003, 0.369], [0.631, 0.124, 0.997], [0.124, 0.997, 0.631], [0.500, 0.500, 0.500]]}

=====

[5]
{"formula": "SrAg4Pd2", "functional": "GGA-PBE", "state": "relaxed", "formation_energy_ev_per_atom": -0.216, "polymorph_energy_mev_per_atom": 0, "dft_energy_ev_per_fu": -24.984, "lattice_angstrom": [[-0.193, 2.057, 5.150], [4.888, 0.736, 2.889], [0.312, 5.668, 0.748]], "species": ["Ag", "Ag", "Ag", "Ag", "Pd", "Pd", "Sr"], "frac_coords": [[0.696, 0.001, 0.606], [0.304, 0.999, 0.394], [0.696, 0.606, 0.000], [0.304, 0.394, 0.000], [0.249, 0.500, 0.500], [0.751, 0.500, 0.500], [0.000, 0.000, 0.000]]}

=====

[6]
{"formula": "MgSn2HSe4", "functional": "GGA-PBE", "state": "relaxed", "dft_energy_ev_per_fu": -28.989, "lattice_angstrom": [[-0.959, -3.825, -0.039], [6.515, -1.618, -1.578], [3.979, -1.058, 5.873]], "species": ["Se", "Se", "Se", "Se", "Sn", "Sn", "H", "Mg"], "frac_coords": [[0.500, 0.738, 0.276], [0.000, 0.735, 0.750], [0.500, 0.262, 0.724], [0.000, 0.265, 0.250], [0.000, 0.000, 0.000], [0.500, 0.000, 0.500], [0.500, 0.500, 0.000], [0.000, 0.500, 0.500]]}